(1)
Compound: Tl2InTe2
Source: Alexandria via LeMat-Bulk
Functional: PBE-GGA
Structure: relaxed

**Spin magnetization**: 0.00 μB/atom
**Total DFT energy (no corrections)**: -0.19828 Ry/atom
**Formation energy from raw total energies**: 0.05 eV per atom
**E above lowest polymorph**: 317 meV/atom
**Symmetry**: I4/mmm, No. 139

Structure (extended XYZ):
```
5
Lattice="-1.7402 -3.4386 2.3101 3.5063 -2.5570 -1.1648 5.1020 -0.4129 7.5985" Properties=species:S:1:pos:R:3 pbc="T T T"
In 0.0000 0.0000 0.0000
Te 2.1224 -3.4247 5.2407
Te 4.7457 -2.9838 3.5032
Tl 1.7145 -2.4884 1.9572
Tl 5.1537 -3.9201 6.7866
```

=====

(2)
Compound: CoReSb2
Source: Alexandria via LeMat-Bulk
Functional: PBE-GGA
Structure: relaxed

**Spin magnetization**: 0.00 μB/atom
**Total DFT energy (no corrections)**: -0.48908 Ry/atom
**Formation energy from raw total energies**: 0.30 eV per atom
**E above lowest polymorph**: 34 meV/atom
**Symmetry**: Amm2, No. 38

Structure (extended XYZ):
```
4
Lattice="5.3403 0.0008 0.0117 4.1859 3.3162 0.0117 -0.0088 -0.0031 4.0211" Properties=species:S:1:pos:R:3 pbc="T T T"
Co 4.3727 1.5226 2.5239
Re 2.8848 1.0045 0.5098
Sb 0.1734 0.0604 0.5029
Sb 6.8452 2.3835 2.5301
```

=====

(3)
Compound: CaY2Re
Source: Alexandria via LeMat-Bulk
Functional: PBE-GGA
Structure: relaxed

**Spin magnetization**: 0.00 μB/atom
**Total DFT energy (no corrections)**: -0.46588 Ry/atom
**Formation energy from the elements**: 11.664 kcal/mol of atoms
**E above lowest polymorph**: 366 meV/atom
**Symmetry**: I-4m2, No. 119

Structure (extended XYZ):
```
4
Lattice="-3.7814 -3.3284 -2.5050 -0.7938 -4.4883 3.2982 -0.1564 5.4988 1.1795" Properties=species:S:1:pos:R:3 pbc="T T T"
Y 0.0000 0.0000 0.0000
Y -1.6189 -1.4489 2.4371
Ca -2.2876 -3.9083 0.3966
Re -3.1127 -0.8690 -0.4644
```

=====

(4)
Compound: ErThAlAu
Source: Alexandria via LeMat-Bulk
Functional: PBE-GGA
Structure: relaxed

**Spin magnetization**: 0.19 μB/atom
**Total DFT energy (no corrections)**: -0.38017 Ry/atom
**Formation energy from the elements**: -9.728 kcal/mol of atoms
**Symmetry**: F-43m, No. 216

Structure (extended XYZ):
```
4
Lattice="-0.2277 -3.1196 4.1581 2.1389 -4.7398 -0.1833 4.3118 -1.0158 2.7296" Properties=species:S:1:pos:R:3 pbc="T T T"
Au 0.0000 0.0000 0.0000
Th 4.6672 -6.6564 5.0283
Er 1.5557 -2.2188 1.6761
Al 3.1115 -4.4376 3.3522
```

=====

(5)
Compound: Li2GaHPd
Source: Alexandria via LeMat-Bulk
Functional: PBE-GGA
Structure: relaxed

**Spin magnetization**: 0.00 μB/atom
**Total DFT energy (no corrections)**: -0.25747 Ry/atom
**E above lowest polymorph**: 0 meV/atom
**Symmetry**: P4/mmm, No. 123

Structure (extended XYZ):
```
5
Lattice="-3.3397 -1.8945 -1.0176 -0.7725 -0.6972 3.8334 -1.8794 3.2036 0.2039" Properties=species:S:1:pos:R:3 pbc="T T T"
Pd -0.9397 1.6018 0.1020
Li -0.3863 -0.3486 1.9167
Li -1.6698 -0.9473 -0.5088
H 0.0000 0.0000 0.0000
Ga -2.9958 0.3059 1.5099
```

=====

(6)
Compound: LiWC3
Source: Alexandria via LeMat-Bulk
Functional: PBE-GGA
Structure: relaxed

**Spin magnetization**: 0.00 μB/atom
**Total DFT energy (no corrections)**: -0.51834 Ry/atom
**Formation energy from the elements**: 33.562 kcal/mol of atoms
**E above lowest polymorph**: 0 meV/atom
**Symmetry**: Pm-3m, No. 221

Structure (extended XYZ):
```
5
Lattice="4.1084 0.0000 0.0000 0.0000 4.1084 0.0000 0.0000 0.0000 4.1084" Properties=species:S:1:pos:R:3 pbc="T T T"
W 0.0000 0.0000 0.0000
C 0.0000 0.0000 2.0542
C 2.0542 0.0000 0.0000
C 0.0000 2.0542 0.0000
Li 2.0542 2.0542 2.0542
```